An optimized crystal structure of K2TiCl. Source: the Alexandria database, functional GGA-PBE.

Values from the calculation:
- Total magnetization: 6.02 μB/cell
- Space group: I-42d
- Raw total energy: -0.2133 Ry per atom
- Energy relative to the elements, uncorrected: 82 meV per atom
- Energy relative to the lowest polymorph listed for this composition: 0.000 eV/atom

```
K2TiCl
1.0
-5.404 -5.851 4.519
5.371 0.739 7.380
-2.392 0.720 7.350
Ti Cl K
2 2 4
Direct
0.750 0.250 0.500
0.000 0.000 0.000
0.250 0.750 0.500
0.500 0.500 0.000
0.553 0.125 0.250
0.375 0.447 0.750
0.875 0.803 0.750
0.197 0.625 0.250
```